Below is a relaxed LaSc2MnTl crystal, with properties calculated at the PBE-GGA level.

Results
- DFT total energy: -28.8 eV for the cell shown
- Formation enthalpy at 0 K: 0.06 eV per atom

Lattice parameters (Å, degrees): 4.8483 5.2724 4.8483 90.00 90.00 90.00
Each line ends with the local moment (μB).
Element x y z (fractional)
Sc (0.0000, 0.0000, 0.5000)  -0.10
Sc (0.5000, 0.0000, 0.0000)  -0.06
La (0.5000, 0.5000, 0.5000)  -0.03
Tl (0.0000, 0.5000, 0.0000)  -0.01
Mn (0.0000, 0.0000, 0.0000)  0.56